No. 1
Computed, not measured: a geometry-optimized Ac2TbPm4Sm2 structure at the PBE-GGA level of DFT.

Calculated values
* space group: C2/m (12)
* energy: -4.557 eV/atom
* size of the total moment: 0.000 Bohr magnetons per cell

Cell and atoms, written as CIF:
```
data_Ac2TbPm4Sm2
_chemical_formula_sum 'Ac2 Tb1 Pm4 Sm2'
_space_group_name_H-M_alt 'P 1'
_space_group_IT_number 1
_cell_length_a 3.705
_cell_length_b 9.028
_cell_length_c 10.127
_cell_angle_alpha 99.02
_cell_angle_beta 90.00
_cell_angle_gamma 101.84
loop_
_space_group_symop_operation_xyz
'x,y,z'
loop_
_atom_site_label
_atom_site_fract_x
_atom_site_fract_y
_atom_site_fract_z
Pm1 0.488 0.976 0.681
Pm2 0.512 0.024 0.319
Pm3 0.169 0.338 0.223
Pm4 0.831 0.662 0.777
Sm1 0.664 0.329 0.921
Sm2 0.336 0.671 0.079
Ac1 0.163 0.325 0.580
Ac2 0.837 0.675 0.420
Tb1 0.000 0.000 0.000
```

=====

No. 2
Computed, not measured: a geometry-optimized Ac2PmSm3Te6 structure at the PBE-GGA level of DFT.

Calculated values
* space group: C2/m (12)
* energy: -5.245 eV/atom
* uncorrected formation energy: -1.413 eV per atom
* size of the total moment: 0.000 Bohr magnetons per cell

Cell and atoms, written as CIF:
```
data_Ac2PmSm3Te6
_chemical_formula_sum 'Ac2 Pm1 Sm3 Te6'
_space_group_name_H-M_alt 'P 1'
_space_group_IT_number 1
_cell_length_a 4.516
_cell_length_b 9.162
_cell_length_c 10.176
_cell_angle_alpha 103.57
_cell_angle_beta 102.82
_cell_angle_gamma 90.00
loop_
_space_group_symop_operation_xyz
'x,y,z'
loop_
_atom_site_label
_atom_site_fract_x
_atom_site_fract_y
_atom_site_fract_z
Sm1 0.170 0.837 0.340
Sm2 0.830 0.163 0.660
Sm3 0.500 0.500 0.000
Te1 0.337 0.406 0.674
Te2 0.663 0.594 0.326
Te3 0.335 0.930 0.669
Te4 0.665 0.070 0.331
Te5 0.006 0.752 0.012
Te6 0.994 0.248 0.988
Ac1 0.165 0.331 0.330
Ac2 0.835 0.669 0.670
Pm1 0.500 0.000 0.000
```

=====

No. 3
Computed, not measured: a geometry-optimized AcPm3Sm2Te6 structure at the PBE-GGA level of DFT.

Calculated values
* space group: C2/m (12)
* energy: -5.294 eV/atom
* uncorrected formation energy: -1.407 eV per atom
* size of the total moment: 0.000 Bohr magnetons per cell

Cell and atoms, written as CIF:
```
data_AcPm3Sm2Te6
_chemical_formula_sum 'Ac1 Pm3 Sm2 Te6'
_space_group_name_H-M_alt 'P 1'
_space_group_IT_number 1
_cell_length_a 7.805
_cell_length_b 7.805
_cell_length_c 7.823
_cell_angle_alpha 99.58
_cell_angle_beta 99.58
_cell_angle_gamma 120.32
loop_
_space_group_symop_operation_xyz
'x,y,z'
loop_
_atom_site_label
_atom_site_fract_x
_atom_site_fract_y
_atom_site_fract_z
Te1 0.568 0.914 0.742
Te2 0.432 0.086 0.258
Te3 0.264 0.264 0.753
Te4 0.736 0.736 0.247
Te5 0.086 0.432 0.258
Te6 0.914 0.568 0.742
Sm1 0.332 0.668 0.000
Sm2 0.668 0.332 0.000
Pm1 0.500 0.500 0.500
Pm2 0.843 0.157 0.500
Pm3 0.157 0.843 0.500
Ac1 0.000 0.000 0.000
```

=====

No. 4
Computed, not measured: a geometry-optimized AcPmSmTh structure at the PBE-GGA level of DFT.

Calculated values
* space group: F-43m (216)
* energy: -5.069 eV/atom
* size of the total moment: 0.000 Bohr magnetons per cell
* energy relative to the lowest polymorph listed for this composition: 13.3 kJ per mole of atoms

Cell and atoms, written as CIF:
```
data_AcPmSmTh
_chemical_formula_sum 'Ac1 Pm1 Sm1 Th1'
_space_group_name_H-M_alt 'P 1'
_space_group_IT_number 1
_cell_length_a 5.881
_cell_length_b 5.881
_cell_length_c 5.881
_cell_angle_alpha 60.00
_cell_angle_beta 60.00
_cell_angle_gamma 60.00
loop_
_space_group_symop_operation_xyz
'x,y,z'
loop_
_atom_site_label
_atom_site_fract_x
_atom_site_fract_y
_atom_site_fract_z
Sm1 0.250 0.250 0.250
Ac1 0.500 0.500 0.500
Pm1 0.750 0.750 0.750
Th1 0.000 0.000 0.000
```

=====

Among the records above, which one has the lowest energy?
AcPm3Sm2Te6

=====

Which value of energy does entry 1 give?
-4.557 eV/atom